Record 1
A plane-wave DFT calculation with GGA-PBE was carried out for a relaxed PrBe2Pt2 crystal.

Unit cell a=4.0779 b=4.0779 c=9.7749 alpha=90.00 beta=90.00 gamma=90.00
With the nearest neighbours (Å) after each atom.
Space group P4/nmm (No. 129, origin choice 2)
Symmetry-distinct sites (fractional):
Pr 0.2500 0.2500 0.2485 (multiplicity 2)  8 Pt 3.14-3.19, 8 Be 3.15-3.17
Be 0.2500 0.2500 0.6210 (multiplicity 2)  5 Pt 2.36-2.51
Be 0.2500 0.7500 0.0000 (multiplicity 2)  4 Pt 2.36
Pt 0.2500 0.2500 0.8778 (multiplicity 2)  5 Be 2.36-2.51
Pt 0.2500 0.7500 0.5000 (multiplicity 2)  4 Be 2.36

The polymorph energy (0 for the lowest one) is 0 meV per atom. Its formation energy is -0.837 eV per atom. Its spin magnetization is 0.00 μB per cell. For the uncorrected energy, the calculation gives -28.499 eV/f.u.


Record 2
A plane-wave DFT calculation with GGA-PBE was carried out for a relaxed Tb2MgZn2Pd5 crystal.

Unit cell a=9.7684 b=9.7684 c=3.7808 alpha=90.00 beta=90.00 gamma=90.00
With the nearest neighbours (Å) after each atom.
Space group P4/mbm (No. 127)
Symmetry-distinct sites (fractional):
Tb 0.1762 0.3238 0.0000 (multiplicity 4)  3 Zn 2.80-2.95, 2 Pd 3.08
Mg 0.0000 0.0000 0.0000 (multiplicity 2)  8 Pd 2.84
Zn 0.1209 0.6209 0.0000 (multiplicity 4)  6 Pd 2.52-2.59, 1 Tb 2.80
Pd 0.0000 0.5000 0.5000 (multiplicity 2)  4 Zn 2.52
Pd 0.0675 0.7943 0.5000 (multiplicity 8)  2 Zn 2.59, 2 Mg 2.84

Its formation energy is -0.708 eV per atom. Its spin magnetization is 0.00 μB per cell. For the uncorrected energy, the calculation gives -46.443 eV/f.u.